# BaScSe2

Crystalline BaScSe2 at its relaxed geometry (PBE-GGA, the Alexandria database). Values from VASP.

Cell and atoms, written as Quantum ESPRESSO input:
```
&SYSTEM
  ibrav = 0, nat = 4, ntyp = 3
/
ATOMIC_SPECIES
Sc 44.96 Sc.upf
Ba 137.33 Ba.upf
Se 78.96 Se.upf
CELL_PARAMETERS angstrom
2.083 0.866 9.188
5.770 0.870 7.447
3.592 4.313 7.616
ATOMIC_POSITIONS crystal
Sc 0.500 0.500 0.500
Ba 0.000 0.000 0.000
Se 0.886 0.886 0.886
Se 0.114 0.114 0.114
```

Summary:
V: 132.0 Å³ per cell
Space group: R-3m, No. 166
DOS(E_F): 1.9 states/eV/f.u.
Uncorrected formation energy: -1.3740 eV/atom
VASP energy: -5.180 eV per atom